#1
15
Lattice="9.172 0.000 0.000 4.586 7.943 0.000 4.586 2.648 6.976" Properties=species:S:1:pos:R:3 comment="PBE Tb8Nd6Sm, optimized geometry" spacegroup="R-3 (148)" volume_a3_per_atom=33.88 pbc="T T T"
Nd 2.591 2.173 0.897
Nd 5.172 4.613 0.897
Tb 9.031 2.009 2.946
Nd 13.172 5.978 6.078
Tb 9.172 5.295 1.883
Nd 5.994 1.158 0.897
Tb 9.312 8.582 4.030
Sm 0.000 0.000 0.000
Tb 12.088 6.817 2.946
Tb 6.396 7.060 2.946
Nd 15.753 8.418 6.078
Tb 11.948 3.531 4.030
Tb 6.256 3.774 4.030
Nd 12.349 9.433 6.078
Tb 9.172 5.295 5.092



#2
15
Lattice="-4.682 3.855 2.447 -5.150 -1.265 -7.864 -1.030 -5.912 7.345" Properties=species:S:1:pos:R:3 comment="PBE Tb8Nd6Sm, optimized geometry" spacegroup="P-3 (147)" volume_a3_per_atom=33.97 pbc="T T T"
Tb -7.874 0.560 -0.653
Nd -5.232 -4.679 0.294
Tb -4.211 -1.310 -0.091
Sm -2.341 1.928 1.223
Nd -9.603 -2.232 -0.315
Tb -6.651 -2.012 2.019
Nd -5.630 1.357 1.633
Tb -6.824 -3.148 -2.196
Tb -2.988 -3.881 2.581
Tb -5.823 -3.244 5.545
Tb -5.039 -0.077 -3.617
Tb -4.038 -0.174 4.123
Nd -3.077 -5.379 5.522
Nd -7.785 2.057 -3.594
Nd -1.259 -1.089 2.242



The computed energies, referenced to the most stable structure and given in meV/atom, are #1 0; #2 61.



#1
20
Lattice="-3.883 -4.222 -2.491 9.654 -6.302 0.865 -5.565 2.396 9.846" Properties=species:S:1:pos:R:3 comment="PBE Tb7Nd12Sm, optimized geometry" spacegroup="R-3 (148)" volume_a3_per_atom=35.02 pbc="T T T"
Tb -6.579 -2.844 7.878
Nd -4.146 -4.472 6.201
Tb -0.435 -2.537 1.708
Nd -3.762 -1.596 9.108
Nd -1.915 -0.067 5.725
Sm 0.000 0.000 0.000
Nd -1.233 -3.296 4.899
Nd -3.588 -0.916 2.453
Tb -1.942 -2.111 -1.246
Nd 2.392 -2.783 6.762
Nd 3.794 -7.212 5.767
Nd 1.439 -4.832 3.321
Tb -4.762 -3.103 0.251
Tb 4.968 -5.024 7.969
Nd -2.186 -5.344 1.458
Nd 3.968 -6.532 -0.889
Tb 6.785 -5.283 0.342
Nd 2.121 -8.060 2.495
Nd 4.352 -3.656 2.019
Tb 0.641 -5.590 6.511



#2
20
Lattice="9.462 -0.145 -0.217 -2.770 9.049 -0.217 -2.770 -3.685 8.267" Properties=species:S:1:pos:R:3 comment="PBE Tb7Nd12Sm, optimized geometry" spacegroup="R-3 (148)" volume_a3_per_atom=34.46 pbc="T T T"
Nd -0.805 4.654 2.931
Nd 1.032 5.901 5.486
Tb -3.638 2.483 8.032
Tb 7.561 2.735 -0.198
Nd 4.727 0.565 4.902
Nd 1.100 -0.519 5.423
Tb 3.397 8.492 0.505
Tb 0.525 -3.273 7.328
Nd -1.459 1.170 3.291
Nd 2.392 1.767 7.559
Nd 4.694 2.504 1.610
Nd 2.890 -0.683 2.348
Nd 1.530 3.452 0.274
Nd 2.822 5.738 2.410
Nd -0.771 2.715 6.224
Tb -3.290 6.919 2.448
Tb 7.213 -1.700 5.385
Sm 0.000 0.000 0.000
Tb 1.961 2.609 3.917
Nd 5.382 4.049 4.542



The computed energies, referenced to the most stable structure and given in meV/atom, are #1 91; #2 0.



#1
9
Lattice="-0.587 7.132 2.028 -5.850 4.026 -2.210 -5.331 1.967 5.179" Properties=species:S:1:pos:R:3 comment="PBE Tb6NdSm2, optimized geometry" spacegroup="R3m (160)" volume_a3_per_atom=33.95 pbc="T T T"
Tb -5.164 3.388 0.225
Tb -5.389 4.266 3.564
Tb -5.694 8.005 4.628
Sm -5.121 6.982 1.244
Nd -2.309 3.629 0.208
Tb -1.842 1.105 1.481
Tb -8.455 6.378 2.406
Sm -8.783 9.867 3.677
Tb -2.177 5.153 2.631



#2
9
Lattice="-3.469 -0.496 0.002 -0.449 -9.161 3.560 -1.633 -0.853 9.664" Properties=species:S:1:pos:R:3 comment="PBE Tb6NdSm2, optimized geometry" spacegroup="C2/m (12)" volume_a3_per_atom=33.03 pbc="T T T"
Sm -1.253 -3.503 4.525
Tb -3.021 -3.574 1.332
Sm -4.298 -7.006 8.701
Tb -2.531 -6.935 11.894
Tb -3.416 -0.800 3.371
Nd 0.000 0.000 0.000
Tb -2.994 -3.727 7.735
Tb -2.558 -6.782 5.491
Tb -2.135 -9.710 9.855



The computed energies, referenced to the most stable structure and given in meV/atom, are #1 228; #2 0.



#1
8
Lattice="5.067 0.000 0.000 0.000 5.067 0.000 0.000 0.000 10.132" Properties=species:S:1:pos:R:3 comment="PBE Tb6NdSm, optimized geometry" spacegroup="P4/mmm (123)" volume_a3_per_atom=32.52 pbc="T T T"
Tb 2.534 0.000 7.607
Sm 0.000 0.000 0.000
Tb 2.534 2.534 0.000
Tb 2.534 2.534 5.066
Tb 0.000 2.534 7.607
Tb 2.534 0.000 2.524
Nd 0.000 0.000 5.066
Tb 0.000 2.534 2.524



#2
8
Lattice="-3.634 -3.454 -3.472 4.956 -3.066 1.798 -2.230 0.821 9.102" Properties=species:S:1:pos:R:3 comment="PBE Tb6NdSm, optimized geometry" spacegroup="C2/m (12)" volume_a3_per_atom=35.76 pbc="T T T"
Tb -1.817 -0.169 5.940
Tb -0.037 -2.192 8.514
Sm 0.000 0.000 0.000
Tb 0.908 -5.530 1.489
Tb -0.871 -3.507 -1.086
Tb 0.277 -2.416 2.288
Nd -2.932 -1.317 2.815
Tb -1.186 -3.283 5.140



The computed energies, referenced to the most stable structure and given in meV/atom, are #1 0; #2 344.



#1
7
Lattice="-1.959 1.540 -2.504 -3.337 -7.789 -2.180 -3.091 4.065 7.412" Properties=species:S:1:pos:R:3 comment="PBE Tb2Nd2Sm3, optimized geometry" spacegroup="C2/m (12)" volume_a3_per_atom=34.07 pbc="T T T"
Sm -1.669 -3.895 -1.090
Tb -3.859 3.478 5.159
Nd -6.115 -1.059 1.640
Sm -4.419 -4.212 0.867
Tb -4.529 -5.662 -2.432
Sm -3.968 2.028 1.860
Nd -2.273 -1.125 1.087



#2
7
Lattice="3.597 -0.116 0.469 0.415 10.857 -0.455 1.001 -0.377 6.168" Properties=species:S:1:pos:R:3 comment="PBE Tb2Nd2Sm3, optimized geometry" spacegroup="P-1 (2)" volume_a3_per_atom=33.63 pbc="T T T"
Tb 3.210 7.349 5.239
Sm 0.000 0.000 0.000
Tb 1.802 3.015 0.943
Sm 1.409 4.378 4.283
Nd 1.810 9.096 2.395
Sm 3.603 5.987 1.898
Nd 3.202 1.268 3.786



The computed energies, referenced to the most stable structure and given in meV/atom, are #1 89; #2 0.



#1
11
Lattice="-2.362 4.484 1.058 -6.718 -4.083 2.305 6.300 -1.372 7.212" Properties=species:S:1:pos:R:3 comment="PBE TbNd8Sm2, optimized geometry" spacegroup="C2/m (12)" volume_a3_per_atom=34.67 pbc="T T T"
Nd 0.172 -0.507 2.530
Nd -2.951 -0.465 8.045
Tb -1.181 2.242 0.529
Sm -1.947 -2.200 4.978
Nd 1.646 1.924 8.187
Nd -5.434 -1.157 5.436
Nd 2.654 0.186 5.138
Sm -0.833 1.229 5.596
Nd -4.426 -2.895 2.387
Nd -3.293 0.550 2.980
Nd 0.513 -1.522 7.594



#2
11
Lattice="0.223 -3.578 5.770 5.239 3.645 8.224 -1.468 4.731 9.156" Properties=species:S:1:pos:R:3 comment="PBE TbNd8Sm2, optimized geometry" spacegroup="C2/m (12)" volume_a3_per_atom=35.22 pbc="T T T"
Nd 1.599 2.449 8.650
Tb 0.000 0.000 0.000
Nd 3.859 3.831 11.315
Nd 0.672 4.347 11.758
Nd 0.135 0.966 11.835
Nd 3.322 0.451 11.392
Nd 2.395 2.349 14.500
Sm 3.159 4.627 17.343
Sm 0.835 0.171 5.806
Nd 2.889 5.718 14.126
Nd 1.105 -0.920 9.024



The computed energies, referenced to the most stable structure and given in meV/atom, are #1 0; #2 143.



#1
18
Lattice="6.132 -0.110 -0.107 1.160 9.957 1.517 1.160 1.838 9.903" Properties=species:S:1:pos:R:3 comment="PBE Tb6Nd2Sm, optimized geometry" spacegroup="C2/c (15)" volume_a3_per_atom=32.75 pbc="T T T"
Tb 5.906 1.484 7.305
Tb 5.612 4.281 10.012
Tb 7.043 8.077 10.053
Nd 4.339 4.673 2.904
Tb 2.840 7.404 1.300
Tb 1.142 6.468 4.000
Tb 4.208 4.152 6.281
Tb 2.546 10.201 4.008
Nd 4.113 7.012 8.408
Tb 3.977 10.365 7.800
Tb 1.409 3.609 1.260
Tb 4.475 1.321 3.512
Sm 5.759 9.073 2.264
Tb 4.244 7.533 5.031
Nd 1.273 3.109 4.630
Sm 2.693 2.612 9.049
Nd 7.179 8.576 6.683
Tb 7.310 5.217 7.313



#2
9
Lattice="-1.538 1.334 2.864 -9.185 -3.350 -1.224 -2.300 -8.304 4.780" Properties=species:S:1:pos:R:3 comment="PBE Tb6Nd2Sm, optimized geometry" spacegroup="Immm (71)" volume_a3_per_atom=33.22 pbc="T T T"
Tb -7.797 -4.236 2.089
Sm 0.000 0.000 0.000
Tb -8.576 -10.174 4.435
Tb -2.155 -1.796 3.983
Tb -4.447 -0.147 1.985
Tb -10.868 -8.525 2.437
Nd -8.845 -6.534 4.752
Nd -4.178 -3.786 1.668
Tb -5.226 -6.085 4.331



The computed energies, referenced to the most stable structure and given in meV/atom, are #1 0; #2 9.



#1
12
Lattice="7.027 1.879 0.899 5.247 7.772 2.498 -1.025 -0.454 8.980" Properties=species:S:1:pos:R:3 comment="PBE Tb4Nd7Sm, optimized geometry" spacegroup="P-1 (2)" volume_a3_per_atom=34.17 pbc="T T T"
Nd 7.612 3.700 7.546
Tb 8.467 7.117 8.575
Nd 4.956 6.162 8.124
Nd 3.339 3.898 10.442
Sm 0.000 0.000 0.000
Nd 3.513 0.940 0.450
Tb 7.176 6.456 5.269
Nd 6.293 3.036 4.253
Tb 4.073 2.741 7.108
Tb 2.782 2.081 3.803
Nd 7.909 5.299 1.935
Nd 3.637 5.497 4.832



#2
12
Lattice="6.037 0.000 0.000 3.019 9.160 1.905 3.019 1.850 7.917" Properties=species:S:1:pos:R:3 comment="PBE Tb4Nd7Sm, optimized geometry" spacegroup="C2/m (12)" volume_a3_per_atom=34.71 pbc="T T T"
Nd 6.037 2.480 1.927
Nd 9.056 5.425 6.567
Tb 6.037 3.795 4.958
Nd 3.019 1.931 3.836
Nd 6.037 8.531 7.894
Nd 3.019 5.586 3.254
Sm 0.000 0.000 0.000
Nd 3.019 0.000 0.000
Tb 6.037 5.697 1.521
Tb 6.037 5.314 8.300
Nd 9.056 9.080 5.986
Tb 6.037 7.216 4.863



The computed energies, referenced to the most stable structure and given in meV/atom, are #1 0; #2 197.